No. 1
VASP calculation (PBE) on an optimized crystal structure of LiCa3Mn.

Summary:
Total magnetization, μB per atom: 0.39
Energy relative to the elements, eV/f.u.: 2.2
Relative energy among the computed polymorphs, kJ per mole of atoms: 0.0
Fermi-level density of states, states/eV per atom: 1.50
Volume, Å³ per atom: 35.415

CIF file:
```
data_LiCa3Mn
_symmetry_space_group_name_H-M 'P m -3 m'
_symmetry_Int_Tables_number 221
_symmetry_space_group_name_Hall '-P 4 2 3'
_cell_length_a 5.6154
_cell_length_b 5.6154
_cell_length_c 5.6154
_cell_angle_alpha 90.00
_cell_angle_beta 90.00
_cell_angle_gamma 90.00
loop_
_atom_site_label
_atom_site_type_symbol
_atom_site_fract_x
_atom_site_fract_y
_atom_site_fract_z
_atom_site_occupancy
Li1 Li 0.0000 0.0000 0.0000 1
Ca1 Ca 0.0000 0.5000 0.5000 1
Mn1 Mn 0.5000 0.5000 0.5000 1
```

***

No. 2
VASP calculation (PBE) on an optimized crystal structure of CaV2CuGe.

Summary:
Total magnetization, μB per atom: 1.30
Energy relative to the elements, eV/f.u.: 3.4
Fermi-level density of states, states/eV per atom: 1.49
Volume, Å³ per atom: 20.968

CIF file:
```
data_CaV2CuGe
_symmetry_space_group_name_H-M 'P 4/m m m'
_symmetry_Int_Tables_number 123
_symmetry_space_group_name_Hall '-P 4 2'
_cell_length_a 4.8317
_cell_length_b 4.8317
_cell_length_c 4.4908
_cell_angle_alpha 90.00
_cell_angle_beta 90.00
_cell_angle_gamma 90.00
loop_
_atom_site_label
_atom_site_type_symbol
_atom_site_fract_x
_atom_site_fract_y
_atom_site_fract_z
_atom_site_occupancy
Ca1 Ca 0.0000 0.0000 0.0000 1
V1 V 0.0000 0.5000 0.5000 1
Cu1 Cu 0.5000 0.5000 0.5000 1
Ge1 Ge 0.5000 0.5000 0.0000 1
```